Record 1
The following is a PBE-GGA calculation of CaYCl after structural relaxation, from the Alexandria database.

Calculated values
size of the total moment	1.97	μB per formula unit
raw formation energy	-1.0	eV/f.u.
uncorrected energy	-11.294	eV/cell
energy relative to the lowest polymorph listed for this composition	622	meV per atom

a = 4.9389 Å, b = 4.9389 Å, c = 4.9389 Å
α = 60.00°, β = 60.00°, γ = 60.00°
Atoms (fractional coordinates):
Ca 0.0000 0.0000 0.0000
Y 0.5000 0.5000 0.5000
Cl 0.2500 0.2500 0.2500

***

Record 2
The following is a PBE-GGA calculation of PuPaGe after structural relaxation, from the Alexandria database.

Calculated values
size of the total moment	6.56	μB per formula unit
energy of formation from the pure elements	-296.8	meV/atom
uncorrected energy	-58.671	eV/cell
energy relative to the lowest polymorph listed for this composition	0	meV per atom

a = 5.1180 Å, b = 5.1180 Å, c = 6.0802 Å
α = 90.00°, β = 90.00°, γ = 120.00°
Atoms (fractional coordinates):
Pu 0.0000 0.0000 0.0000
Pu 0.0000 0.0000 0.5000
Pa 0.3333 0.6667 0.2500
Pa 0.6667 0.3333 0.7500
Ge 0.3333 0.6667 0.7500
Ge 0.6667 0.3333 0.2500

***

Record 3
The following is a PBE-GGA calculation of Hf2VCoW after structural relaxation, from the Alexandria database.

Calculated values
size of the total moment	2.74	μB per formula unit
energy of formation from the pure elements	1399.4	meV/atom
uncorrected energy	-42.088	eV/cell

a = 5.0729 Å, b = 5.0729 Å, c = 4.4836 Å
α = 90.00°, β = 90.00°, γ = 90.00°
Atoms (fractional coordinates):
Hf 0.0000 0.5000 0.0000
Hf 0.5000 0.0000 0.0000
V 0.0000 0.0000 0.5000
Co 0.5000 0.5000 0.5000
W 0.0000 0.0000 0.0000

***

Record 4
The following is a PBE-GGA calculation of Ac4Ce3YS8 after structural relaxation, from the Alexandria database.

Calculated values
size of the total moment	2.49	μB per formula unit
raw formation energy	-32.0	eV/f.u.
uncorrected energy	-105.722	eV/cell

a = 8.3418 Å, b = 8.3418 Å, c = 8.3418 Å
α = 59.56°, β = 59.56°, γ = 59.56°
Atoms (fractional coordinates):
Ac 0.0000 0.0000 0.0000
Ac 0.0000 0.5000 0.5000
Ac 0.5000 0.0000 0.5000
Ac 0.5000 0.5000 0.0000
Ce 0.0000 0.0000 0.5000
Ce 0.0000 0.5000 0.0000
Ce 0.5000 0.0000 0.0000
Y 0.5000 0.5000 0.5000
S 0.2439 0.2439 0.2439
S 0.2478 0.7401 0.7401
S 0.2599 0.2599 0.7522
S 0.2599 0.7522 0.2599
S 0.7401 0.2478 0.7401
S 0.7401 0.7401 0.2478
S 0.7522 0.2599 0.2599
S 0.7561 0.7561 0.7561

***

Record 5
The following is a PBE-GGA calculation of ZrTi2AlN after structural relaxation, from the Alexandria database.

Calculated values
size of the total moment	0.00	μB per formula unit
raw formation energy	-4.7	eV/f.u.
uncorrected energy	-41.105	eV/cell

a = 4.1040 Å, b = 4.1040 Å, c = 4.5618 Å
α = 90.00°, β = 90.00°, γ = 90.00°
Atoms (fractional coordinates):
Zr 0.0000 0.0000 0.0000
Ti 0.0000 0.5000 0.5000
Ti 0.5000 0.0000 0.5000
Al 0.5000 0.5000 0.0000
N 0.0000 0.0000 0.5000

***

Record 6
The following is a PBE-GGA calculation of NiMoSe after structural relaxation, from the Alexandria database.

Calculated values
size of the total moment	0.00	μB per formula unit
raw formation energy	0.5	eV/f.u.
uncorrected energy	-19.556	eV/cell
energy relative to the lowest polymorph listed for this composition	84	meV per atom

a = 3.0047 Å, b = 3.0047 Å, c = 5.9133 Å
α = 90.00°, β = 90.00°, γ = 120.00°
Atoms (fractional coordinates):
Ni 0.0000 0.0000 0.0000
Mo 0.3333 0.6667 0.6678
Se 0.6667 0.3333 0.3506

***

Record 7
The following is a PBE-GGA calculation of KThB12 after structural relaxation, from the Alexandria database.

Calculated values
size of the total moment	0.00	μB per formula unit
energy of formation from the pure elements	-346.4	meV/atom
uncorrected energy	-93.497	eV/cell

a = 5.8779 Å, b = 5.8779 Å, c = 5.8779 Å
α = 60.00°, β = 60.00°, γ = 60.00°
Atoms (fractional coordinates):
K 0.0000 0.0000 0.0000
Th 0.5000 0.5000 0.5000
B 0.1004 0.1004 0.3996
B 0.1004 0.3996 0.1004
B 0.1004 0.3996 0.3996
B 0.3996 0.1004 0.1004
B 0.3996 0.1004 0.3996
B 0.3996 0.3996 0.1004
B 0.6004 0.6004 0.8996
B 0.6004 0.8996 0.6004
B 0.6004 0.8996 0.8996
B 0.8996 0.6004 0.6004
B 0.8996 0.6004 0.8996
B 0.8996 0.8996 0.6004

***

Record 8
The following is a PBE-GGA calculation of YBeNiGe2 after structural relaxation, from the Alexandria database.

Calculated values
size of the total moment	0.00	μB per formula unit
energy of formation from the pure elements	-578.8	meV/atom
uncorrected energy	-28.100	eV/cell

a = 5.8013 Å, b = 5.8013 Å, c = 5.8013 Å
α = 140.26°, β = 140.26°, γ = 57.46°
Atoms (fractional coordinates):
Y 0.0000 0.0000 0.0000
Be 0.7500 0.2500 0.5000
Ni 0.2500 0.7500 0.5000
Ge 0.3758 0.3758 0.0000
Ge 0.6242 0.6242 0.0000

***

> Among the records above, which one has the highest uncorrected energy?

CaYCl